CrCd2Mo2O6 (PBE with a Hubbard U, optimized geometry); raw total energy = -6.011 eV/atom; space group = C2/m, No. 12; size of the total moment = 3.0 μB/f.u.
1.0
2.697 -4.325 0.000
2.697 4.325 0.000
-2.413 0.000 7.356
Cr Cd Mo O
1 2 2 6
Direct
0.000 0.000 0.000
0.300 0.700 0.500
0.700 0.300 0.500
0.358 0.642 0.000
0.642 0.358 0.000
0.054 0.717 0.139
0.283 0.946 0.861
0.380 0.380 0.171
0.620 0.620 0.829
0.717 0.054 0.139
0.946 0.283 0.861